Record 1
RbFe2Ir6 | PBE | optimized geometry

a = 4.5870 Å, b = 4.5870 Å, c = 11.2189 Å
α = 102.23°, β = 102.23°, γ = 48.52°
With the nearest neighbours (Å) after each atom.
Element x y z (fractional)
Rb (0.0000, 0.0000, 0.0000)  6 Ir 3.51-3.61, 2 Rb 3.77, 4 Fe 3.85
Fe (0.3146, 0.3146, 0.7001)  9 Ir 2.62-2.73
Fe (0.6854, 0.6854, 0.2999)  9 Ir 2.62-2.73
Ir (0.0128, 0.0128, 0.3748)  8 Ir 2.60-2.87, 3 Fe 2.63-2.67
Ir (0.3372, 0.3372, 0.4632)  9 Ir 2.63-2.72, 3 Fe 2.71-2.73
Ir (0.3638, 0.3638, 0.2320)  3 Ir 2.60-2.65, 3 Fe 2.62
Ir (0.6362, 0.6362, 0.7680)  3 Ir 2.60-2.65, 3 Fe 2.62
Ir (0.6628, 0.6628, 0.5368)  9 Ir 2.63-2.72, 3 Fe 2.71-2.73
Ir (0.9872, 0.9872, 0.6252)  8 Ir 2.60-2.87, 3 Fe 2.63-2.67

Summary:
The value obtained for the calculated volume is 19.11 Å³/atom. The calculation puts the total energy at -66.75 eV per cell.

---

Record 2
RbFeIr | PBE | optimized geometry

a = 6.6384 Å, b = 6.6384 Å, c = 6.6384 Å
α = 90.00°, β = 90.00°, γ = 90.00°
With the nearest neighbours (Å) after each atom.
Element x y z (fractional)
Rb (0.0000, 0.0000, 0.0000)  4 Fe 2.87, 4 Ir 2.87
Rb (0.0000, 0.5000, 0.5000)  4 Ir 2.87, 4 Fe 2.87
Rb (0.5000, 0.0000, 0.5000)  4 Ir 2.87, 4 Fe 2.87
Rb (0.5000, 0.5000, 0.0000)  4 Fe 2.87, 4 Ir 2.87
Fe (0.2500, 0.2500, 0.7500)  4 Rb 2.87
Fe (0.2500, 0.7500, 0.2500)  4 Rb 2.87
Fe (0.7500, 0.2500, 0.2500)  4 Rb 2.87
Fe (0.7500, 0.7500, 0.7500)  4 Rb 2.87
Ir (0.2500, 0.2500, 0.2500)  4 Rb 2.87
Ir (0.2500, 0.7500, 0.7500)  4 Rb 2.87
Ir (0.7500, 0.2500, 0.7500)  4 Rb 2.87
Ir (0.7500, 0.7500, 0.2500)  4 Rb 2.87

Summary:
The value obtained for the calculated volume is 24.38 Å³/atom. The calculation puts the total energy at -43.08 eV per cell.

---

Record 3
FeReIr6 | PBE | optimized geometry

a = 5.4866 Å, b = 5.4866 Å, c = 4.3757 Å
α = 90.00°, β = 90.00°, γ = 120.00°
With the nearest neighbours (Å) after each atom.
Element x y z (fractional)
Fe (0.0000, 0.0000, 0.0000)  12 Ir 2.69-2.74
Re (0.6667, 0.3333, 0.5000)  12 Ir 2.70-2.74
Ir (0.1655, 0.3310, 0.5000)  2 Fe 2.69, 8 Ir 2.71-2.76, 2 Re 2.74
Ir (0.1655, 0.8345, 0.5000)  2 Fe 2.69, 8 Ir 2.71-2.76, 2 Re 2.74
Ir (0.5009, 0.0018, 0.0000)  2 Re 2.70, 8 Ir 2.71-2.76, 2 Fe 2.74
Ir (0.5009, 0.4991, 0.0000)  2 Re 2.70, 8 Ir 2.71-2.76, 2 Fe 2.74
Ir (0.6690, 0.8345, 0.5000)  2 Fe 2.69, 8 Ir 2.71-2.76, 2 Re 2.74
Ir (0.9982, 0.4991, 0.0000)  2 Re 2.70, 8 Ir 2.71-2.76, 2 Fe 2.74

Summary:
The formation energy comes out at -1.003 eV per formula unit. The value obtained for the calculated volume is 14.26 Å³/atom.

---

Record 4
FeRe6Ir | PBE | optimized geometry

a = 5.4882 Å, b = 5.4882 Å, c = 4.3676 Å
α = 90.00°, β = 90.00°, γ = 120.00°
With the nearest neighbours (Å) after each atom.
Element x y z (fractional)
Fe (0.0000, 0.0000, 0.0000)  12 Re 2.69-2.74
Re (0.0073, 0.5037, 0.0000)  8 Re 2.68-2.80, 2 Ir 2.72, 2 Fe 2.74
Re (0.1657, 0.3314, 0.5000)  8 Re 2.69-2.76, 2 Fe 2.69, 2 Ir 2.74
Re (0.1657, 0.8343, 0.5000)  8 Re 2.69-2.76, 2 Fe 2.69, 2 Ir 2.74
Re (0.4963, 0.5037, 0.0000)  8 Re 2.68-2.80, 2 Ir 2.72, 2 Fe 2.74
Re (0.4963, 0.9927, 0.0000)  8 Re 2.68-2.80, 2 Ir 2.72, 2 Fe 2.74
Re (0.6686, 0.8343, 0.5000)  8 Re 2.69-2.76, 2 Fe 2.69, 2 Ir 2.74
Ir (0.6667, 0.3333, 0.5000)  12 Re 2.72-2.74

Summary:
The formation energy comes out at -0.766 eV per formula unit. The value obtained for the calculated volume is 14.24 Å³/atom.

---

Record 5
FeReIr6 | PBE | optimized geometry

a = 3.8363 Å, b = 3.8363 Å, c = 7.6432 Å
α = 90.00°, β = 90.00°, γ = 90.00°
With the nearest neighbours (Å) after each atom.
Element x y z (fractional)
Fe (0.0000, 0.0000, 0.0000)  12 Ir 2.70-2.71
Re (0.0000, 0.0000, 0.5000)  12 Ir 2.71-2.72
Ir (0.0000, 0.5000, 0.2478)  2 Fe 2.70, 8 Ir 2.70-2.72, 2 Re 2.72
Ir (0.0000, 0.5000, 0.7522)  2 Fe 2.70, 8 Ir 2.70-2.72, 2 Re 2.72
Ir (0.5000, 0.0000, 0.2478)  2 Fe 2.70, 8 Ir 2.70-2.72, 2 Re 2.72
Ir (0.5000, 0.0000, 0.7522)  2 Fe 2.70, 8 Ir 2.70-2.72, 2 Re 2.72
Ir (0.5000, 0.5000, 0.0000)  8 Ir 2.70, 4 Fe 2.71
Ir (0.5000, 0.5000, 0.5000)  4 Re 2.71, 8 Ir 2.72

Summary:
The formation energy comes out at -0.471 eV per formula unit. The value obtained for the calculated volume is 14.06 Å³/atom.

---

Record 6
FeReSbIr | PBE | optimized geometry

a = 6.2764 Å, b = 6.2764 Å, c = 6.2764 Å
α = 90.00°, β = 90.00°, γ = 90.00°
With the nearest neighbours (Å) after each atom.
Element x y z (fractional)
Fe (0.0000, 0.0000, 0.0000)  4 Ir 2.72, 4 Sb 2.72
Fe (0.0000, 0.5000, 0.5000)  4 Ir 2.72, 4 Sb 2.72
Fe (0.5000, 0.0000, 0.5000)  4 Ir 2.72, 4 Sb 2.72
Fe (0.5000, 0.5000, 0.0000)  4 Ir 2.72, 4 Sb 2.72
Re (0.0000, 0.0000, 0.5000)  4 Sb 2.72, 4 Ir 2.72
Re (0.0000, 0.5000, 0.0000)  4 Sb 2.72, 4 Ir 2.72
Re (0.5000, 0.0000, 0.0000)  4 Sb 2.72, 4 Ir 2.72
Re (0.5000, 0.5000, 0.5000)  4 Sb 2.72, 4 Ir 2.72
Sb (0.2500, 0.2500, 0.7500)  4 Fe 2.72, 4 Re 2.72
Sb (0.2500, 0.7500, 0.2500)  4 Fe 2.72, 4 Re 2.72
Sb (0.7500, 0.2500, 0.2500)  4 Fe 2.72, 4 Re 2.72
Sb (0.7500, 0.7500, 0.7500)  4 Fe 2.72, 4 Re 2.72
Ir (0.2500, 0.2500, 0.2500)  4 Fe 2.72, 4 Re 2.72
Ir (0.2500, 0.7500, 0.7500)  4 Fe 2.72, 4 Re 2.72
Ir (0.7500, 0.2500, 0.7500)  4 Fe 2.72, 4 Re 2.72
Ir (0.7500, 0.7500, 0.2500)  4 Fe 2.72, 4 Re 2.72

Summary:
The value obtained for the calculated volume is 15.45 Å³/atom. The calculation puts the total energy at -128.15 eV per cell.